Here is an optimized crystal structure of LiHg2Br6 from Alexandria via LeMat-Bulk. Energies are from PBE-GGA.

Lattice parameters (Å, degrees): 8.2723 6.7837 13.0645 90.00 121.75 90.00
Closest atoms and distances in Å follow each position.
Sites, in units of the cell vectors:
Li 0.0000 0.0000 0.0000  6 Br 2.75-2.82
Li 0.0000 0.5000 0.5000  6 Br 2.75-2.82
Hg 0.2653 0.1315 0.8216  2 Br 2.47-2.49
Hg 0.2653 0.3685 0.3216  2 Br 2.47-2.49
Hg 0.7347 0.6315 0.6784  2 Br 2.47-2.49
Hg 0.7347 0.8685 0.1784  2 Br 2.47-2.49
Br 0.0088 0.6311 0.0893  1 Li 2.75, 1 Br 2.88
Br 0.0088 0.8689 0.5893  1 Li 2.75, 1 Br 2.88
Br 0.2498 0.6461 0.4406  1 Hg 2.49, 1 Li 2.75
Br 0.2498 0.8539 0.9406  1 Hg 2.49, 1 Li 2.75
Br 0.3226 0.0807 0.2292  1 Hg 2.47
Br 0.3226 0.4193 0.7292  1 Hg 2.47
Br 0.6774 0.5807 0.2708  1 Hg 2.47
Br 0.6774 0.9193 0.7708  1 Hg 2.47
Br 0.7502 0.1461 0.0594  1 Hg 2.49, 1 Li 2.75
Br 0.7502 0.3539 0.5594  1 Hg 2.49, 1 Li 2.75
Br 0.9912 0.1311 0.4107  1 Li 2.75, 1 Br 2.88
Br 0.9912 0.3689 0.9107  1 Li 2.75, 1 Br 2.88

Total magnetic moment in μB/cell: 2.0
E above lowest polymorph in eV per atom: 0.000
SG: P2_1/c
Formation energy without anion corrections in eV per formula unit: -4.91